Entry 1:
A geometry-optimized GdTlCoTe3 structure. Source: OQMD, functional PBE.

Properties
Electronic total energy ... -4.53 eV/atom

Lattice parameters (Å, degrees): 4.204 15.903 11.330 90.00 90.00 90.00
Space group Cmcm (No. 63)
Inequivalent atoms, fractional coordinates:
Gd 0.000 0.000 0.000 (multiplicity 4)
Tl 0.000 0.251 0.250 (multiplicity 4)
Co 0.000 0.474 0.750 (multiplicity 4)
Te 0.000 0.073 0.750 (multiplicity 4)
Te 0.000 0.369 0.577 (multiplicity 8)



Entry 2:
A geometry-optimized GdTlCoTe3 structure. Source: OQMD, functional PBE.

Properties
Electronic total energy ... -4.53 eV/atom

Lattice parameters (Å, degrees): 11.358 4.209 15.864 90.00 90.00 90.00
Space group Pnma (No. 62)
Inequivalent atoms, fractional coordinates:
Gd 0.015 0.250 0.246 (multiplicity 4)
Tl 0.226 0.750 0.502 (multiplicity 4)
Co 0.238 0.250 0.724 (multiplicity 4)
Te 0.060 0.250 0.623 (multiplicity 4)
Te 0.091 0.750 0.116 (multiplicity 4)
Te 0.238 0.750 0.823 (multiplicity 4)



Entry 3:
A geometry-optimized Gd3Tm3CoTe2 structure. Source: OQMD, functional PBE.

Properties
Energy above the lowest structure with this stoichiometry ... 0 meV per atom

Lattice parameters (Å, degrees): 8.3084 8.3084 3.9365 90.00 90.00 120.00
Space group P-62m (No. 189)
Inequivalent atoms, fractional coordinates:
Gd 0.0000 0.6015 0.0000 (multiplicity 3)
Tm 0.0000 0.2324 0.5000 (multiplicity 3)
Co 0.0000 0.0000 0.0000 (multiplicity 1)
Te 0.3333 0.6667 0.5000 (multiplicity 2)



Entry 4:
A geometry-optimized Gd3Tm3CoTe2 structure. Source: OQMD, functional PBE.

Properties
Energy above the lowest structure with this stoichiometry ... 80 meV per atom

Lattice parameters (Å, degrees): 8.3577 8.3577 3.8666 90.00 90.00 120.00
Space group P-62m (No. 189)
Inequivalent atoms, fractional coordinates:
Gd 0.0000 0.2394 0.0000 (multiplicity 3)
Tm 0.0000 0.6027 0.5000 (multiplicity 3)
Co 0.0000 0.0000 0.5000 (multiplicity 1)
Te 0.3333 0.6667 0.0000 (multiplicity 2)



Entry 5:
A geometry-optimized GdThCo structure. Source: OQMD, functional PBE.

Properties
ΔE_f ... 15 meV/atom
Energy above the lowest structure with this stoichiometry ... 0 meV per atom

Lattice parameters (Å, degrees): 6.746 6.746 6.746 90.00 90.00 90.00
Space group F-43m (No. 216)
Inequivalent atoms, fractional coordinates:
Gd 0.000 0.000 0.000 (multiplicity 4)
Th 0.000 0.000 0.500 (multiplicity 4)
Co 0.250 0.250 0.250 (multiplicity 4)



Entry 6:
A geometry-optimized GdTmCo4 structure. Source: OQMD, functional PBE.

Properties
ΔE_f ... -206 meV/atom

Lattice parameters (Å, degrees): 7.124 7.124 7.124 90.00 90.00 90.00
Space group F-43m (No. 216)
Inequivalent atoms, fractional coordinates:
Gd 0.000 0.000 0.000 (multiplicity 4)
Tm 0.250 0.250 0.750 (multiplicity 4)
Co 0.125 0.125 0.375 (multiplicity 16)



Entry 7:
A geometry-optimized GdTmCo structure. Source: OQMD, functional PBE.

Properties
ΔE_f ... 778 meV/atom
Energy above the lowest structure with this stoichiometry ... 0 meV per atom

Lattice parameters (Å, degrees): 6.564 6.564 6.564 90.00 90.00 90.00
Space group F-43m (No. 216)
Inequivalent atoms, fractional coordinates:
Gd 0.000 0.000 0.000 (multiplicity 4)
Tm 0.250 0.250 0.750 (multiplicity 4)
Co 0.000 0.000 0.500 (multiplicity 4)



Entry 8:
A geometry-optimized GdYCo structure. Source: OQMD, functional PBE.

Properties
ΔE_f ... 813 meV/atom
Energy above the lowest structure with this stoichiometry ... 0 meV per atom

Lattice parameters (Å, degrees): 6.635 6.635 6.635 90.00 90.00 90.00
Space group F-43m (No. 216)
Inequivalent atoms, fractional coordinates:
Gd 0.000 0.000 0.000 (multiplicity 4)
Y 0.250 0.250 0.250 (multiplicity 4)
Co 0.250 0.250 0.750 (multiplicity 4)



Entry 9:
A geometry-optimized GdYCo2 structure. Source: OQMD, functional PBE.

Properties
ΔE_f ... -180 meV/atom

Lattice parameters (Å, degrees): 3.854 3.975 10.541 90.00 90.00 90.00
Space group Amm2 (No. 38)
Inequivalent atoms, fractional coordinates:
Gd 0.000 0.000 0.000 (multiplicity 2)
Y 0.500 0.000 0.715 (multiplicity 2)
Co 0.000 0.000 0.299 (multiplicity 2)
Co 0.500 0.000 0.416 (multiplicity 2)



Entry 10:
A geometry-optimized GdYCo2 structure. Source: OQMD, functional PBE.

Properties
ΔE_f ... -178 meV/atom

Lattice parameters (Å, degrees): 3.910 5.553 7.445 90.00 90.00 90.00
Space group Pmc2_1 (No. 26)
Inequivalent atoms, fractional coordinates:
Gd 0.000 0.133 0.000 (multiplicity 2)
Y 0.500 0.368 0.644 (multiplicity 2)
Co 0.000 0.348 0.349 (multiplicity 2)
Co 0.500 0.151 0.295 (multiplicity 2)



Entry 11:
A geometry-optimized GdZn20Co2 structure. Source: OQMD, functional PBE.

Properties
ΔE_f ... -172 meV/atom

Lattice parameters (Å, degrees): 13.987 13.987 13.987 90.00 90.00 90.00
Space group Fd-3m (No. 227, origin choice 2)
Inequivalent atoms, fractional coordinates:
Gd 0.125 0.125 0.125 (multiplicity 8)
Zn 0.000 0.000 0.000 (multiplicity 16)
Zn 0.011 0.375 0.875 (multiplicity 48)
Zn 0.059 0.059 0.326 (multiplicity 96)
Co 0.000 0.000 0.500 (multiplicity 16)



Entry 12:
A geometry-optimized GdZnCo structure. Source: OQMD, functional PBE.

Properties
ΔE_f ... 237 meV/atom

Lattice parameters (Å, degrees): 6.227 6.227 6.227 90.00 90.00 90.00
Space group F-43m (No. 216)
Inequivalent atoms, fractional coordinates:
Gd 0.000 0.000 0.000 (multiplicity 4)
Zn 0.250 0.250 0.750 (multiplicity 4)
Co 0.000 0.000 0.500 (multiplicity 4)



Which formula does entry 5 have? GdThCo